# Rb12NaAg5 (PBE-GGA, relaxed)
# Energy relative to the elements in eV per atom: 0.05
data_Rb12NaAg5
_cell_length_a 12.0192
_cell_length_b 12.5759
_cell_length_c 13.4251
_cell_angle_alpha 90.00
_cell_angle_beta 90.00
_cell_angle_gamma 90.00
_symmetry_space_group_name_H-M 'I m m m'
_symmetry_Int_Tables_number 71
_symmetry_space_group_name_Hall '-I 2 2'
loop_
_atom_site_label
_atom_site_fract_x
_atom_site_fract_y
_atom_site_fract_z
_atom_site_occupancy
Rb1 0.0000 0.1955 0.2149 1
Rb2 0.1899 0.5000 0.1767 1
Rb3 0.2131 0.3220 0.5000 1
Na1 0.0000 0.0000 0.5000 1
Ag1 0.0000 0.0000 0.0000 1
Ag2 0.0000 0.3816 0.0000 1
Ag3 0.0000 0.5000 0.3934 1